1.
Compound: LiIrW2
Source: Alexandria via LeMat-Bulk
Functional: PBE
Structure: optimized geometry

Properties
* energy relative to the lowest polymorph listed for this composition: 0.019 eV per atom

abc: 2.7268 4.2897 5.0574
angles: 90.00 97.41 90.00
Atoms (fractional coordinates):
Li 0.0000 0.0000 0.0000
Ir 0.0833 0.5000 0.7351
W 0.4477 0.0000 0.5049
W 0.6537 0.5000 0.2098

=====

2.
Compound: LiIrW2
Source: Alexandria via LeMat-Bulk
Functional: PBE
Structure: optimized geometry

Properties
* energy relative to the lowest polymorph listed for this composition: 0.146 eV per atom

abc: 5.1380 5.1380 5.1380
angles: 145.72 127.35 64.34
Atoms (fractional coordinates):
Li 0.0000 0.0000 0.0000
Ir 0.2462 0.7462 0.5000
W 0.4949 0.4949 0.0000
W 0.7318 0.2318 0.5000

=====

3.
Compound: LiIrW2
Source: Alexandria via LeMat-Bulk
Functional: PBE
Structure: optimized geometry

Properties
* energy relative to the lowest polymorph listed for this composition: 0.128 eV per atom

abc: 3.8211 3.8211 4.0213
angles: 90.00 90.00 90.00
Atoms (fractional coordinates):
Li 0.0000 0.0000 0.0000
Ir 0.5000 0.5000 0.0000
W 0.0000 0.5000 0.5000
W 0.5000 0.0000 0.5000

=====

4.
Compound: LiIr2W
Source: Alexandria via LeMat-Bulk
Functional: PBE
Structure: optimized geometry

abc: 4.4626 4.4626 4.4626
angles: 125.56 125.56 80.62
Atoms (fractional coordinates):
Li 0.0000 0.0000 0.0000
Ir 0.2500 0.7500 0.5000
Ir 0.7500 0.2500 0.5000
W 0.5000 0.5000 0.0000

=====

5.
Compound: LiIr2W
Source: Alexandria via LeMat-Bulk
Functional: PBE
Structure: optimized geometry

abc: 4.3237 4.3237 4.3237
angles: 60.00 60.00 60.00
Atoms (fractional coordinates):
Li 0.0000 0.0000 0.0000
Ir 0.2500 0.2500 0.2500
Ir 0.5000 0.5000 0.5000
W 0.7500 0.7500 0.7500

=====

6.
Compound: LiIr3W
Source: Alexandria via LeMat-Bulk
Functional: PBE
Structure: optimized geometry

Properties
* energy relative to the lowest polymorph listed for this composition: 0.000 eV per atom

abc: 4.1092 4.1092 4.1092
angles: 90.00 90.00 90.00
Atoms (fractional coordinates):
Li 0.0000 0.0000 0.0000
Ir 0.0000 0.0000 0.5000
Ir 0.0000 0.5000 0.0000
Ir 0.5000 0.0000 0.0000
W 0.5000 0.5000 0.5000

=====

Number 1: formation energy from the elements 0.1044 eV per atom. Number 2: formation energy from the elements 0.2323 eV per atom. Number 3: formation energy from the elements 0.2142 eV per atom. Number 4: formation energy from the elements -0.2566 eV per atom. Number 5: formation energy from the elements 0.1860 eV per atom. Number 6: formation energy from the elements 0.7162 eV per atom.